## a
# Sm4TlZn2 GGA-PBE optimized geometry
# D(E_F) = 9.18 states/eV/f.u.
data_Sm4TlZn2
_space_group_name_H-M_alt 'R -3 m'
_space_group_IT_number 166
_space_group_name_Hall '-R 3 2"'
_cell_length_a 5.0711
_cell_length_b 5.0711
_cell_length_c 27.9632
_cell_angle_alpha 90.00
_cell_angle_beta 90.00
_cell_angle_gamma 120.00
loop_
_atom_site_label
_atom_site_fract_x
_atom_site_fract_y
_atom_site_fract_z
Sm1 0.0000 0.0000 0.1176
Sm2 0.0000 0.0000 0.2977
Tl1 0.0000 0.0000 0.5000
Zn1 0.0000 0.0000 0.4021

=====

## b
# Sm4TlZn2 GGA-PBE optimized geometry
# D(E_F) = 8.26 states/eV/f.u.
data_Sm4TlZn2
_space_group_name_H-M_alt 'R -3 m'
_space_group_IT_number 166
_space_group_name_Hall '-R 3 2"'
_cell_length_a 5.1882
_cell_length_b 5.1882
_cell_length_c 24.9406
_cell_angle_alpha 90.00
_cell_angle_beta 90.00
_cell_angle_gamma 120.00
loop_
_atom_site_label
_atom_site_fract_x
_atom_site_fract_y
_atom_site_fract_z
Sm1 0.0000 0.0000 0.1144
Sm2 0.0000 0.0000 0.3675
Tl1 0.0000 0.0000 0.5000
Zn1 0.0000 0.0000 0.2460

=====

Most stable one: b, least stable one: a.

=====

## a
# SmTlZn2 GGA-PBE optimized geometry
# D(E_F) = 2.90 states/eV/f.u.
data_SmTlZn2
_space_group_name_H-M_alt 'A m m 2'
_space_group_IT_number 38
_cell_length_a 4.540
_cell_length_b 5.664
_cell_length_c 7.406
_cell_angle_alpha 90.00
_cell_angle_beta 90.00
_cell_angle_gamma 90.00
loop_
_space_group_symop_operation_xyz
'x,y,z'
'-x,-y,z'
'-x,y,z'
'x,-y,z'
'x,y+1/2,z+1/2'
'-x,-y+1/2,z+1/2'
'-x,y+1/2,z+1/2'
'x,-y+1/2,z+1/2'
loop_
_atom_site_label
_atom_site_fract_x
_atom_site_fract_y
_atom_site_fract_z
Sm1 0.000 0.000 0.000
Tl1 0.500 0.000 0.328
Zn1 0.000 0.000 0.585
Zn2 0.500 0.000 0.719

=====

## b
# SmTlZn2 GGA-PBE optimized geometry
# D(E_F) = 2.63 states/eV/f.u.
data_SmTlZn2
_space_group_name_H-M_alt 'P 4/m m m'
_space_group_IT_number 123
_space_group_name_Hall '-P 4 2'
_cell_length_a 4.621
_cell_length_b 4.621
_cell_length_c 4.229
_cell_angle_alpha 90.00
_cell_angle_beta 90.00
_cell_angle_gamma 90.00
loop_
_atom_site_label
_atom_site_fract_x
_atom_site_fract_y
_atom_site_fract_z
Sm1 0.000 0.000 0.000
Tl1 0.500 0.500 0.000
Zn1 0.000 0.500 0.500

=====

Most stable one: b, least stable one: a.

=====

## a
# Sm6Tl2Zn GGA-PBE optimized geometry
# D(E_F) = 14.88 states/eV/f.u.
data_Sm6Tl2Zn
_space_group_name_H-M_alt 'I m m m'
_space_group_IT_number 71
_space_group_name_Hall '-I 2 2'
_cell_length_a 5.200
_cell_length_b 7.370
_cell_length_c 15.564
_cell_angle_alpha 90.00
_cell_angle_beta 90.00
_cell_angle_gamma 90.00
loop_
_atom_site_label
_atom_site_fract_x
_atom_site_fract_y
_atom_site_fract_z
Sm1 0.000 0.233 0.000
Sm2 0.000 0.258 0.339
Tl1 0.000 0.500 0.166
Zn1 0.000 0.500 0.500

=====

## b
# Sm6Tl2Zn GGA-PBE optimized geometry
# D(E_F) = 11.33 states/eV/f.u.
data_Sm6Tl2Zn
_space_group_name_H-M_alt 'P -6 2 m'
_space_group_IT_number 189
_space_group_name_Hall 'P -6 -2'
_cell_length_a 9.0007
_cell_length_b 9.0007
_cell_length_c 3.8011
_cell_angle_alpha 90.00
_cell_angle_beta 90.00
_cell_angle_gamma 120.00
loop_
_atom_site_label
_atom_site_fract_x
_atom_site_fract_y
_atom_site_fract_z
Sm1 0.0000 0.3952 0.0000
Sm2 0.0000 0.7368 0.5000
Tl1 0.3333 0.6667 0.5000
Zn1 0.0000 0.0000 0.0000

=====

Most stable one: b, least stable one: a.

=====

## a
# Sm6Tl3Zn GGA-PBE optimized geometry
# D(E_F) = 10.28 states/eV/f.u.
data_Sm6Tl3Zn
_space_group_name_H-M_alt 'P 1 21/m 1'
_space_group_IT_number 11
_cell_length_a 9.461
_cell_length_b 5.360
_cell_length_c 11.896
_cell_angle_alpha 90.00
_cell_angle_beta 107.43
_cell_angle_gamma 90.00
loop_
_space_group_symop_operation_xyz
'x,y,z'
'-x,-y,-z'
'-x,y+1/2,-z'
'x,-y+1/2,z'
loop_
_atom_site_label
_atom_site_fract_x
_atom_site_fract_y
_atom_site_fract_z
Sm1 0.027 0.250 0.406
Sm2 0.169 0.750 0.175
Sm3 0.266 0.250 0.003
Sm4 0.361 0.750 0.827
Sm5 0.369 0.250 0.344
Sm6 0.401 0.250 0.625
Tl1 0.031 0.750 0.886
Tl2 0.127 0.250 0.723
Tl3 0.271 0.750 0.471
Zn1 0.458 0.750 0.104

=====

## b
# Sm6Tl3Zn GGA-PBE optimized geometry
# D(E_F) = 11.35 states/eV/f.u.
data_Sm6Tl3Zn
_space_group_name_H-M_alt 'P 1 21/m 1'
_space_group_IT_number 11
_cell_length_a 11.608
_cell_length_b 3.784
_cell_length_c 14.643
_cell_angle_alpha 90.00
_cell_angle_beta 108.51
_cell_angle_gamma 90.00
loop_
_space_group_symop_operation_xyz
'x,y,z'
'-x,-y,-z'
'-x,y+1/2,-z'
'x,-y+1/2,z'
loop_
_atom_site_label
_atom_site_fract_x
_atom_site_fract_y
_atom_site_fract_z
Sm1 0.001 0.250 0.171
Sm2 0.096 0.750 0.412
Sm3 0.257 0.250 0.841
Sm4 0.325 0.250 0.259
Sm5 0.365 0.250 0.624
Sm6 0.401 0.750 0.056
Tl1 0.137 0.750 0.646
Tl2 0.153 0.250 0.023
Tl3 0.384 0.750 0.447
Zn1 0.441 0.750 0.800

=====

Most stable one: a, least stable one: b.

=====

## a
# Sm4TlZn3 GGA-PBE optimized geometry
# D(E_F) = 10.40 states/eV/f.u.
data_Sm4TlZn3
_space_group_name_H-M_alt 'R -3 m'
_space_group_IT_number 166
_space_group_name_Hall '-R 3 2"'
_cell_length_a 5.2159
_cell_length_b 5.2159
_cell_length_c 25.9575
_cell_angle_alpha 90.00
_cell_angle_beta 90.00
_cell_angle_gamma 120.00
loop_
_atom_site_label
_atom_site_fract_x
_atom_site_fract_y
_atom_site_fract_z
Sm1 0.0000 0.0000 0.1198
Sm2 0.0000 0.0000 0.3696
Tl1 0.0000 0.0000 0.5000
Zn1 0.0000 0.0000 0.0000
Zn2 0.0000 0.0000 0.2507

=====

## b
# Sm4TlZn3 GGA-PBE optimized geometry
# D(E_F) = 7.74 states/eV/f.u.
data_Sm4TlZn3
_space_group_name_H-M_alt 'P m m 2'
_space_group_IT_number 25
_cell_length_a 3.724
_cell_length_b 4.651
_cell_length_c 11.959
_cell_angle_alpha 90.00
_cell_angle_beta 90.00
_cell_angle_gamma 90.00
loop_
_space_group_symop_operation_xyz
'x,y,z'
'-x,-y,z'
'-x,y,z'
'x,-y,z'
loop_
_atom_site_label
_atom_site_fract_x
_atom_site_fract_y
_atom_site_fract_z
Sm1 0.000 0.000 0.000
Sm2 0.000 0.500 0.292
Sm3 0.500 0.000 0.480
Sm4 0.500 0.500 0.805
Tl1 0.000 0.000 0.711
Zn1 0.000 0.500 0.564
Zn2 0.500 0.000 0.211
Zn3 0.500 0.500 0.077

=====

Most stable one: a, least stable one: b.

=====

## a
# SmZr2Tl GGA-PBE optimized geometry
# D(E_F) = 3.04 states/eV/f.u.
data_SmZr2Tl
_space_group_name_H-M_alt 'P 4/m m m'
_space_group_IT_number 123
_space_group_name_Hall '-P 4 2'
_cell_length_a 4.633
_cell_length_b 4.633
_cell_length_c 4.596
_cell_angle_alpha 90.00
_cell_angle_beta 90.00
_cell_angle_gamma 90.00
loop_
_atom_site_label
_atom_site_fract_x
_atom_site_fract_y
_atom_site_fract_z
Sm1 0.000 0.000 0.000
Zr1 0.000 0.500 0.500
Tl1 0.500 0.500 0.000

=====

## b
# SmZr2Tl GGA-PBE optimized geometry
# D(E_F) = 5.83 states/eV/f.u.
data_SmZr2Tl
_space_group_name_H-M_alt 'R -3 m'
_space_group_IT_number 166
_space_group_name_Hall '-R 3 2"'
_cell_length_a 3.2169
_cell_length_b 3.2169
_cell_length_c 34.8691
_cell_angle_alpha 90.00
_cell_angle_beta 90.00
_cell_angle_gamma 120.00
loop_
_atom_site_label
_atom_site_fract_x
_atom_site_fract_y
_atom_site_fract_z
Sm1 0.0000 0.0000 0.0000
Zr1 0.0000 0.0000 0.0920
Tl1 0.0000 0.0000 0.5000

=====

Most stable one: a, least stable one: b.